A plane-wave DFT calculation with PBEsol was carried out for a relaxed structure of ReOs3.

Properties
Calculated formation energy   -0.068 eV/atom
SG   Cmcm, No. 63
Energy relative to the lowest polymorph listed for this composition   4 kJ/mol of formula units
DFT total energy   -12.562 eV per atom

Cell: 4.336 5.478 5.478 Å, 119.96 90.00 90.00°
Positions (direct):
1 Os 0.250 0.082 0.918
2 Os 0.250 0.587 0.919
3 Os 0.250 0.081 0.413
4 Os 0.750 0.918 0.082
5 Os 0.750 0.413 0.081
6 Os 0.750 0.919 0.587
7 Re 0.250 0.584 0.416
8 Re 0.750 0.416 0.584